The following is a SCAN calculation of a crystal of SrSi2CCl relaxed with PBEsol, from the Alexandria database.

abc: 4.0245 4.0245 5.9112
angles: 90.00 90.00 90.00
Sites, in units of the cell vectors:
1 Sr 0.0000 0.0000 0.5000
2 Si 0.0000 0.5000 0.0000
3 Si 0.5000 0.0000 0.0000
4 C 0.0000 0.0000 0.0000
5 Cl 0.5000 0.5000 0.5000

Calculated values
VASP energy: -12.036 eV per atom
formation energy (no corrections): 0.04 eV/atom